# 1
K2NaTl5Ag2 | Alexandria | PBE | optimized geometry; N(E_F) = 0.46 states/eV per atom; total moment = 0.0 μB/f.u.; ΔE_f = -33 meV/atom
1.0
4.546 0.000 0.000
0.000 11.479 0.000
0.000 0.000 11.479
Na Ag Tl K
2 4 10 4
direct
0.000 0.500 0.500 Na
0.000 0.000 0.000 Na
0.000 0.879 0.379 Ag
0.000 0.121 0.621 Ag
0.000 0.621 0.879 Ag
0.000 0.379 0.121 Ag
0.500 0.000 0.500 Tl
0.500 0.434 0.297 Tl
0.500 0.566 0.703 Tl
0.500 0.203 0.066 Tl
0.500 0.797 0.934 Tl
0.500 0.297 0.566 Tl
0.500 0.066 0.797 Tl
0.500 0.500 0.000 Tl
0.500 0.703 0.434 Tl
0.500 0.934 0.203 Tl
0.000 0.676 0.176 K
0.000 0.324 0.824 K
0.000 0.824 0.676 K
0.000 0.176 0.324 K

---

# 2
K2Na6TlAg | Alexandria | PBE | optimized geometry; N(E_F) = 0.40 states/eV per atom; total moment = 0.0 μB/f.u.; ΔE_f = 20 meV/atom
1.0
-6.744 4.946 -1.352
-3.928 -3.518 6.631
-3.104 4.894 6.285
Na K Ag Tl
6 2 1 1
direct
0.745 0.745 0.510 Na
0.745 0.745 0.000 Na
0.745 0.255 0.000 Na
0.255 0.255 0.490 Na
0.255 0.745 0.000 Na
0.255 0.255 0.000 Na
0.750 0.250 0.500 K
0.250 0.750 0.500 K
0.500 0.500 0.000 Ag
0.000 0.000 0.000 Tl

---

# 3
KNaZnAg | Alexandria | PBE | optimized geometry; energy above the most stable polymorph in this dataset = 0 meV per atom; N(E_F) = 0.32 states/eV per atom; total moment = 0.0 μB/f.u.; ΔE_f = 13 meV/atom
1.0
-1.608 0.370 4.324
-0.790 -3.887 -2.385
7.190 -1.621 0.308
K Zn Na Ag
1 1 1 1
direct
0.383 0.057 0.440 K
0.822 0.274 0.097 Zn
0.003 0.866 0.868 Na
0.484 0.608 0.092 Ag

---

# 4
KNaZnAg | Alexandria | PBE | optimized geometry; energy above the most stable polymorph in this dataset = 130 meV per atom; N(E_F) = 0.49 states/eV per atom; total moment = 0.0 μB/f.u.; ΔE_f = 143 meV/atom
1.0
5.291 0.000 0.000
2.645 4.582 0.000
2.645 1.527 4.320
K Na Zn Ag
1 1 1 1
direct
0.750 0.750 0.750 K
0.000 0.000 0.000 Na
0.500 0.500 0.500 Zn
0.250 0.250 0.250 Ag

---

# 5
K2NaZnAg | Alexandria | PBE | optimized geometry; N(E_F) = 0.85 states/eV per atom; total moment = 0.0 μB/f.u.; ΔE_f = 128 meV/atom
1.0
6.529 0.000 0.000
0.000 6.529 0.000
0.000 0.000 5.070
K Zn Na Ag
2 1 1 1
direct
0.500 0.000 0.000 K
0.000 0.500 0.000 K
0.000 0.000 0.500 Zn
0.500 0.500 0.500 Na
0.000 0.000 0.000 Ag

---

# 6
K2NbAg | Alexandria | PBE | optimized geometry; energy above the most stable polymorph in this dataset = 0 meV per atom; N(E_F) = 1.36 states/eV per atom; total moment = 4.4 μB/f.u.; ΔE_f = 1154 meV/atom
1.0
11.723 0.000 0.000
0.000 11.723 0.000
5.861 5.861 2.753
Nb Ag K
2 2 4
direct
0.500 0.500 0.000 Nb
0.250 0.750 0.500 Nb
0.750 0.250 0.500 Ag
0.000 0.000 0.000 Ag
0.875 0.009 0.750 K
0.991 0.625 0.250 K
0.759 0.125 0.250 K
0.375 0.241 0.750 K

---

# 7
KNbAg3 | Alexandria | PBE | optimized geometry; energy above the most stable polymorph in this dataset = 767 meV per atom; N(E_F) = 0.71 states/eV per atom; total moment = 3.1 μB/f.u.; ΔE_f = 1694 meV/atom
1.0
5.224 0.000 0.000
0.000 5.224 0.000
0.000 0.000 5.224
K Nb Ag
1 1 3
direct
0.000 0.000 0.000 K
0.500 0.500 0.500 Nb
0.000 0.000 0.500 Ag
0.500 0.000 0.000 Ag
0.000 0.500 0.000 Ag

---

# 8
KNbAg3 | Alexandria | PBE | optimized geometry; energy above the most stable polymorph in this dataset = 0 meV per atom; N(E_F) = 1.07 states/eV per atom; total moment = 0.9 μB/f.u.; ΔE_f = 927 meV/atom
1.0
5.338 0.000 0.000
0.000 5.338 0.000
0.000 0.000 5.338
Ag K Nb
3 1 1
direct
0.500 0.000 0.000 Ag
0.000 0.500 0.000 Ag
0.000 0.000 0.500 Ag
0.500 0.500 0.500 K
0.000 0.000 0.000 Nb

---

> Which value of total moment does entry 7 give?

3.1 μB/f.u.

---

> What is the formula in the second record?

K2Na6TlAg

---

> The highest N(E_F) belongs to which entry?

K2NbAg